Record 1
An optimized crystal structure of CsCeTiO4. Source: Alexandria via LeMat-Bulk, functional GGA-PBE.

- total DFT energy (no corrections) (eV/atom) = -7.78
- density of states at the Fermi level (states/eV per atom) = 0.91
- total magnetization (μB per cell) = 2.005

Cell: 6.1548 6.2155 8.1368 Å, 90.00 108.35 90.00°
With the nearest neighbours (Å) after each atom.
Sites, in units of the cell vectors:
Cs (0.1932, 0.2500, 0.4299)  2 O 2.90-3.13
Cs (0.8068, 0.7500, 0.5701)  2 O 2.90-3.13
Ce (0.3012, 0.2500, 0.9579)  6 O 2.35-2.53
Ce (0.6988, 0.7500, 0.0421)  6 O 2.35-2.53
Ti (0.2382, 0.7500, 0.1506)  4 O 1.79-1.87
Ti (0.7618, 0.2500, 0.8494)  4 O 1.79-1.87
O (0.0250, 0.7500, 0.9418)  1 Ti 1.79
O (0.0467, 0.7500, 0.2836)  1 Ti 1.83
O (0.4424, 0.5240, 0.1620)  1 Ti 1.87
O (0.4424, 0.9760, 0.1620)  1 Ti 1.87
O (0.5576, 0.0240, 0.8380)  1 Ti 1.87
O (0.5576, 0.4760, 0.8380)  1 Ti 1.87
O (0.9533, 0.2500, 0.7164)  1 Ti 1.83
O (0.9750, 0.2500, 0.0582)  1 Ti 1.79

***

Record 2
An optimized crystal structure of K2LaMn. Source: Alexandria via LeMat-Bulk, functional GGA-PBE.

- total DFT energy (no corrections) (eV/atom) = -3.30
- density of states at the Fermi level (states/eV per atom) = 0.97
- total magnetization (μB per cell) = 13.843
- energy relative to the elements (eV/atom) = 0.7740

Cell: 3.7101 3.7101 40.4883 Å, 90.00 90.00 120.00°
With the nearest neighbours (Å) after each atom.
Sites, in units of the cell vectors:
K (0.0000, 0.0000, 0.2410)  3 Mn 3.69, 6 K 3.71
K (0.0000, 0.0000, 0.7590)  3 Mn 3.69, 6 K 3.71
K (0.3333, 0.6667, 0.4256)  3 Mn 3.69, 6 K 3.71
K (0.3333, 0.6667, 0.9077)  3 Mn 3.69-3.70, 6 K 3.71
K (0.6667, 0.3333, 0.0923)  3 Mn 3.69-3.70, 6 K 3.71
K (0.6667, 0.3333, 0.5744)  3 Mn 3.69, 6 K 3.71
La (0.0000, 0.0000, 0.0000)  6 La 3.71
La (0.3333, 0.6667, 0.6667)  6 La 3.71
La (0.6667, 0.3333, 0.3333)  6 La 3.71
Mn (0.0000, 0.0000, 0.5000)  6 K 3.69, 6 Mn 3.71
Mn (0.3333, 0.6667, 0.1667)  6 K 3.69-3.70, 6 Mn 3.71
Mn (0.6667, 0.3333, 0.8333)  6 K 3.69-3.70, 6 Mn 3.71

***

Record 3
An optimized crystal structure of NbPtSe3. Source: Alexandria via LeMat-Bulk, functional GGA-PBE.

- total DFT energy (no corrections) (eV/atom) = -4.83
- density of states at the Fermi level (states/eV per atom) = 1.18
- total magnetization (μB per cell) = 0.722

Cell: 4.9824 4.9824 4.9824 Å, 90.00 90.00 90.00°
With the nearest neighbours (Å) after each atom.
Sites, in units of the cell vectors:
Nb (0.0000, 0.0000, 0.0000)  6 Se 2.49
Pt (0.5000, 0.5000, 0.5000)  12 Se 3.52
Se (0.0000, 0.0000, 0.5000)  2 Nb 2.49
Se (0.0000, 0.5000, 0.0000)  2 Nb 2.49
Se (0.5000, 0.0000, 0.0000)  2 Nb 2.49

***

Record 4
An optimized crystal structure of Li2Ga2Ir. Source: Alexandria via LeMat-Bulk, functional GGA-PBE.

- total DFT energy (no corrections) (eV/atom) = -3.98
- density of states at the Fermi level (states/eV per atom) = 0.38
- total magnetization (μB per cell) = 0.000
- energy relative to the elements (eV/atom) = -0.2357

Cell: 6.7186 6.7186 3.1369 Å, 90.00 90.00 90.00°
With the nearest neighbours (Å) after each atom.
Sites, in units of the cell vectors:
Li (0.1606, 0.3394, 0.0000)  6 Ga 2.43-2.58
Li (0.3394, 0.8394, 0.0000)  6 Ga 2.43-2.58
Li (0.6606, 0.1606, 0.0000)  6 Ga 2.43-2.58
Li (0.8394, 0.6606, 0.0000)  6 Ga 2.43-2.58
Ga (0.1446, 0.6446, 0.5000)  6 Li 2.43-2.58, 2 Ir 2.58
Ga (0.3554, 0.1446, 0.5000)  6 Li 2.43-2.58, 2 Ir 2.58
Ga (0.6446, 0.8554, 0.5000)  6 Li 2.43-2.58, 2 Ir 2.58
Ga (0.8554, 0.3554, 0.5000)  6 Li 2.43-2.58, 2 Ir 2.58
Ir (0.0000, 0.0000, 0.5000)  4 Ga 2.58
Ir (0.5000, 0.5000, 0.5000)  4 Ga 2.58

***

Record 5
An optimized crystal structure of Sr2TlW. Source: Alexandria via LeMat-Bulk, functional GGA-PBE.

- total DFT energy (no corrections) (eV/atom) = -3.79
- density of states at the Fermi level (states/eV per atom) = 0.69
- total magnetization (μB per cell) = 0.000
- energy relative to the elements (eV/atom) = 0.8792

Cell: 3.4355 3.4355 33.2099 Å, 90.00 90.00 120.00°
With the nearest neighbours (Å) after each atom.
Sites, in units of the cell vectors:
Sr (0.0000, 0.0000, 0.2443)  3 W 3.25, 6 Sr 3.44, 3 Tl 3.56
Sr (0.0000, 0.0000, 0.7557)  3 W 3.25, 6 Sr 3.44, 3 Tl 3.56
Sr (0.3333, 0.6667, 0.4223)  3 W 3.25, 6 Sr 3.44, 3 Tl 3.56
Sr (0.3333, 0.6667, 0.9110)  3 W 3.25, 6 Sr 3.44, 3 Tl 3.56
Sr (0.6667, 0.3333, 0.0890)  3 W 3.25, 6 Sr 3.44, 3 Tl 3.56
Sr (0.6667, 0.3333, 0.5777)  3 W 3.25, 6 Sr 3.44, 3 Tl 3.56
Tl (0.0000, 0.0000, 0.0000)  6 Tl 3.44, 6 Sr 3.56
Tl (0.3333, 0.6667, 0.6667)  6 Tl 3.44, 6 Sr 3.56
Tl (0.6667, 0.3333, 0.3333)  6 Tl 3.44, 6 Sr 3.56
W (0.0000, 0.0000, 0.5000)  6 Sr 3.25, 6 W 3.44
W (0.3333, 0.6667, 0.1667)  6 Sr 3.25, 6 W 3.44
W (0.6667, 0.3333, 0.8333)  6 Sr 3.25, 6 W 3.44

***

Record 6
An optimized crystal structure of NaCdInGe. Source: Alexandria via LeMat-Bulk, functional GGA-PBE.

- total DFT energy (no corrections) (eV/atom) = -2.37
- density of states at the Fermi level (states/eV per atom) = 0.31
- total magnetization (μB per cell) = 0.000
- energy relative to the elements (eV/atom) = 0.0293

Cell: 7.1755 7.1755 7.1755 Å, 90.00 90.00 90.00°
With the nearest neighbours (Å) after each atom.
Sites, in units of the cell vectors:
Na (0.0000, 0.0000, 0.0000)  4 In 3.11, 4 Ge 3.11
Na (0.0000, 0.5000, 0.5000)  4 Ge 3.11, 4 In 3.11
Na (0.5000, 0.0000, 0.5000)  4 Ge 3.11, 4 In 3.11
Na (0.5000, 0.5000, 0.0000)  4 Ge 3.11, 4 In 3.11
Cd (0.0000, 0.0000, 0.5000)  4 Ge 3.11, 4 In 3.11
Cd (0.0000, 0.5000, 0.0000)  4 Ge 3.11, 4 In 3.11
Cd (0.5000, 0.0000, 0.0000)  4 Ge 3.11, 4 In 3.11
Cd (0.5000, 0.5000, 0.5000)  4 Ge 3.11, 4 In 3.11
In (0.2500, 0.2500, 0.2500)  4 Cd 3.11, 4 Na 3.11
In (0.2500, 0.7500, 0.7500)  4 Cd 3.11, 4 Na 3.11
In (0.7500, 0.2500, 0.7500)  4 Cd 3.11, 4 Na 3.11
In (0.7500, 0.7500, 0.2500)  4 Cd 3.11, 4 Na 3.11
Ge (0.2500, 0.2500, 0.7500)  4 Cd 3.11, 4 Na 3.11
Ge (0.2500, 0.7500, 0.2500)  4 Cd 3.11, 4 Na 3.11
Ge (0.7500, 0.2500, 0.2500)  4 Cd 3.11, 4 Na 3.11
Ge (0.7500, 0.7500, 0.7500)  4 Cd 3.11, 4 Na 3.11

***

Record 7
An optimized crystal structure of Tb2HoTmRh4. Source: Alexandria via LeMat-Bulk, functional GGA-PBE.

- total DFT energy (no corrections) (eV/atom) = -6.86
- density of states at the Fermi level (states/eV per atom) = 0.42
- total magnetization (μB per cell) = 0.000
- energy relative to the elements (eV/atom) = -0.8949

Cell: 8.3780 8.3780 8.3780 Å, 33.51 33.51 33.51°
With the nearest neighbours (Å) after each atom.
Sites, in units of the cell vectors:
Tb (0.2503, 0.2503, 0.2503)  8 Rh 2.94-2.98
Tb (0.7497, 0.7497, 0.7497)  8 Rh 2.94-2.98
Ho (0.5000, 0.5000, 0.5000)  8 Rh 2.96-2.97
Tm (0.0000, 0.0000, 0.0000)  8 Rh 2.95
Rh (0.1245, 0.1245, 0.1245)  1 Tm 2.95, 4 Tb 2.96-2.98, 3 Ho 2.96
Rh (0.3745, 0.3745, 0.3745)  4 Tb 2.94-2.96, 3 Tm 2.95, 1 Ho 2.97
Rh (0.6255, 0.6255, 0.6255)  4 Tb 2.94-2.96, 3 Tm 2.95, 1 Ho 2.97
Rh (0.8755, 0.8755, 0.8755)  1 Tm 2.95, 4 Tb 2.96-2.98, 3 Ho 2.96

***

Record 8
An optimized crystal structure of Y2SbCl. Source: Alexandria via LeMat-Bulk, functional GGA-PBE.

- total DFT energy (no corrections) (eV/atom) = -5.68
- density of states at the Fermi level (states/eV per atom) = 0.65
- total magnetization (μB per cell) = 1.226

Cell: 3.7437 3.7437 7.3680 Å, 90.00 90.00 90.00°
With the nearest neighbours (Å) after each atom.
Sites, in units of the cell vectors:
Y (0.0000, 0.0000, 0.2333)  4 Sb 3.16, 4 Cl 3.30, 1 Y 3.44
Y (0.0000, 0.0000, 0.7667)  4 Sb 3.16, 4 Cl 3.30, 1 Y 3.44
Sb (0.5000, 0.5000, 0.0000)  8 Y 3.16
Cl (0.5000, 0.5000, 0.5000)  8 Y 3.30, 2 Sb 3.68

***

Record 9
An optimized crystal structure of Ac3PrGe4. Source: Alexandria via LeMat-Bulk, functional GGA-PBE.

- total DFT energy (no corrections) (eV/atom) = -5.06
- density of states at the Fermi level (states/eV per atom) = 1.08
- total magnetization (μB per cell) = 0.000
- energy relative to the elements (eV/atom) = -0.6163

Cell: 4.4959 6.6816 17.2371 Å, 90.00 90.00 90.00°
With the nearest neighbours (Å) after each atom.
Sites, in units of the cell vectors:
Ac (0.0000, 0.0000, 0.0000)  8 Ge 3.39
Ac (0.0000, 0.5000, 0.1958)  6 Ge 3.28-3.29
Ac (0.0000, 0.5000, 0.8042)  6 Ge 3.28-3.29
Ac (0.5000, 0.0000, 0.3042)  6 Ge 3.28-3.29
Ac (0.5000, 0.0000, 0.6958)  6 Ge 3.28-3.29
Ac (0.5000, 0.5000, 0.5000)  8 Ge 3.39
Pr (0.0000, 0.0000, 0.5000)  4 Ge 3.03
Pr (0.5000, 0.5000, 0.0000)  4 Ge 3.03
Ge (0.0000, 0.3117, 0.3722)  1 Ge 2.52
Ge (0.0000, 0.3117, 0.6278)  1 Ge 2.52
Ge (0.0000, 0.6883, 0.3722)  1 Ge 2.52
Ge (0.0000, 0.6883, 0.6278)  1 Ge 2.52
Ge (0.5000, 0.1883, 0.1278)  1 Ge 2.52
Ge (0.5000, 0.1883, 0.8722)  1 Ge 2.52
Ge (0.5000, 0.8117, 0.1278)  1 Ge 2.52
Ge (0.5000, 0.8117, 0.8722)  1 Ge 2.52

***

Record 10
An optimized crystal structure of Pu6URh5. Source: Alexandria via LeMat-Bulk, functional GGA-PBE.

- total DFT energy (no corrections) (eV/atom) = -11.50
- density of states at the Fermi level (states/eV per atom) = 3.06
- total magnetization (μB per cell) = 9.163
- energy relative to the elements (eV/atom) = -0.3281

Cell: 8.5387 8.5387 8.5387 Å, 148.43 132.44 58.21°
With the nearest neighbours (Å) after each atom.
Sites, in units of the cell vectors:
Pu (0.0801, 0.3349, 0.7452)  7 Rh 2.88-2.99, 1 U 3.02
Pu (0.2438, 0.0000, 0.2438)  6 Rh 2.87-3.10, 2 U 2.92
Pu (0.4103, 0.6651, 0.7452)  7 Rh 2.88-2.99, 1 U 3.02
Pu (0.5897, 0.3349, 0.2548)  7 Rh 2.88-2.99, 1 U 3.02
Pu (0.7562, 0.0000, 0.7562)  6 Rh 2.87-3.10, 2 U 2.92
Pu (0.9199, 0.6651, 0.2548)  7 Rh 2.88-2.99, 1 U 3.02
U (0.5000, 0.5000, 0.0000)  8 Pu 2.92-3.02
Rh (0.0000, 0.5000, 0.5000)  8 Pu 2.87-2.99
Rh (0.1745, 0.1745, 0.0000)  8 Pu 2.88-3.10
Rh (0.3296, 0.8296, 0.5000)  8 Pu 2.91-3.09
Rh (0.6704, 0.1704, 0.5000)  8 Pu 2.91-3.09
Rh (0.8255, 0.8255, 0.0000)  8 Pu 2.88-3.10

***

Record 11
An optimized crystal structure of KCaCu. Source: Alexandria via LeMat-Bulk, functional GGA-PBE.

- total DFT energy (no corrections) (eV/atom) = -1.65
- density of states at the Fermi level (states/eV per atom) = 0.49
- total magnetization (μB per cell) = 0.000
- energy relative to the elements (eV/atom) = 0.7518

Cell: 7.5558 7.5558 7.5558 Å, 90.00 90.00 90.00°
With the nearest neighbours (Å) after each atom.
Sites, in units of the cell vectors:
K (0.0000, 0.0000, 0.0000)  4 Cu 3.27, 4 Ca 3.27
K (0.0000, 0.5000, 0.5000)  4 Ca 3.27, 4 Cu 3.27
K (0.5000, 0.0000, 0.5000)  4 Ca 3.27, 4 Cu 3.27
K (0.5000, 0.5000, 0.0000)  4 Ca 3.27, 4 Cu 3.27
Ca (0.2500, 0.2500, 0.2500)  4 K 3.27
Ca (0.2500, 0.7500, 0.7500)  4 K 3.27
Ca (0.7500, 0.2500, 0.7500)  4 K 3.27
Ca (0.7500, 0.7500, 0.2500)  4 K 3.27
Cu (0.2500, 0.2500, 0.7500)  4 K 3.27
Cu (0.2500, 0.7500, 0.2500)  4 K 3.27
Cu (0.7500, 0.2500, 0.2500)  4 K 3.27
Cu (0.7500, 0.7500, 0.7500)  4 K 3.27

***

Record 12
An optimized crystal structure of TcAsW2. Source: Alexandria via LeMat-Bulk, functional GGA-PBE.

- total DFT energy (no corrections) (eV/atom) = -10.00
- density of states at the Fermi level (states/eV per atom) = 0.91
- total magnetization (μB per cell) = 0.000
- energy relative to the elements (eV/atom) = 0.2290

Cell: 2.9677 2.9677 6.9858 Å, 90.00 90.00 90.00°
With the nearest neighbours (Å) after each atom.
Sites, in units of the cell vectors:
Tc (0.0000, 0.0000, 0.0000)  8 W 2.75, 4 Tc 2.97
As (0.0000, 0.0000, 0.5000)  8 W 2.71, 4 As 2.97
W (0.5000, 0.5000, 0.2551)  4 As 2.71, 4 Tc 2.75, 4 W 2.97
W (0.5000, 0.5000, 0.7449)  4 As 2.71, 4 Tc 2.75, 4 W 2.97